# 1
Below is an optimized crystal structure of CuAgBiF6, with properties calculated at the PBE level.

- ΔE_f (raw) (eV per atom) = -1.762

Cell and atoms, written as extended XYZ:
```
18
Lattice="5.833 0.000 0.000 -2.916 5.051 0.000 0.000 0.000 9.711" Properties=species:S:1:pos:R:3 pbc="T T T"
Cu 0.000 3.367 2.428
Cu 2.916 1.684 7.283
Ag 0.000 0.000 0.000
Ag 0.000 0.000 4.855
Bi 0.000 3.367 7.283
Bi 2.916 1.684 2.428
F -0.917 1.876 1.315
F -1.750 3.319 3.541
F 0.917 1.876 3.541
F -0.833 4.907 1.315
F 2.083 0.144 6.170
F 1.166 1.732 8.396
F 1.750 3.319 1.315
F 0.833 4.907 3.541
F 3.749 0.144 8.396
F 1.999 3.175 6.170
F 4.666 1.732 6.170
F 3.833 3.175 8.396
```

***

# 2
Below is an optimized crystal structure of Re3Mo13, with properties calculated at the PBE level.

- calculated formation energy (eV/atom) = 0.02

Cell and atoms, written as extended XYZ:
```
16
Lattice="6.307 0.000 0.000 0.000 4.462 4.462 0.000 -4.462 4.462" Properties=species:S:1:pos:R:3 pbc="T T T"
Re 0.000 0.000 0.000
Re 1.578 0.000 2.246
Re 4.729 0.000 2.246
Mo 0.000 -2.231 2.238
Mo 0.000 2.231 2.238
Mo 0.000 0.000 4.475
Mo 1.577 -2.229 4.476
Mo 1.577 2.229 4.476
Mo 1.577 0.000 6.707
Mo 3.153 2.224 6.699
Mo 3.153 0.000 0.007
Mo 3.153 0.000 4.465
Mo 3.153 -2.224 6.699
Mo 4.729 -2.229 4.476
Mo 4.729 2.229 4.476
Mo 4.730 0.000 6.707
```

***

- Number 1 is which compound?
  CuAgBiF6